No. 1
This record from Alexandria via LeMat-Bulk describes an optimized crystal structure of Ac6Ir2Pb. The functional is GGA-PBE.

Output
Its crystal system is trigonal. For the energy above the most stable polymorph in this dataset, the calculation gives 0 meV/atom.

abc: 5.608 5.608 12.353
angles: 90.00 90.00 120.00
Sites, in units of the cell vectors:
1 Ac 0.000 0.000 0.289
2 Ac 0.333 0.667 0.884
3 Ac 0.000 0.000 0.711
4 Ac 0.333 0.667 0.417
5 Ac 0.667 0.333 0.116
6 Ac 0.667 0.333 0.583
7 Ir 0.667 0.333 0.348
8 Ir 0.333 0.667 0.652
9 Pb 0.000 0.000 0.000



No. 2
This record from Alexandria via LeMat-Bulk describes an optimized crystal structure of Ac6Ir2Pb. The functional is GGA-PBE.

Output
Its crystal system is monoclinic. For the energy above the most stable polymorph in this dataset, the calculation gives 17 meV/atom.

abc: 8.714 9.693 9.693
angles: 64.60 75.77 75.77
Sites, in units of the cell vectors:
1 Ac 0.362 0.920 0.267
2 Ac 0.862 0.267 0.920
3 Ac 0.387 0.341 0.011
4 Ac 0.613 0.659 0.989
5 Ac 0.628 0.665 0.588
6 Ac 0.887 0.011 0.341
7 Ac 0.128 0.588 0.665
8 Ac 0.138 0.733 0.080
9 Ac 0.638 0.080 0.733
10 Ac 0.872 0.412 0.335
11 Ac 0.113 0.989 0.659
12 Ac 0.372 0.335 0.412
13 Ir 0.165 0.190 0.325
14 Ir 0.835 0.810 0.675
15 Ir 0.665 0.325 0.190
16 Ir 0.335 0.675 0.810
17 Pb 0.250 0.097 0.903
18 Pb 0.750 0.903 0.097



No. 3
This record from Alexandria via LeMat-Bulk describes an optimized crystal structure of Ac5Ir2Pb. The functional is GGA-PBE.

Output
Its crystal system is tetragonal.

abc: 8.466 8.466 9.542
angles: 116.33 116.33 90.00
Sites, in units of the cell vectors:
1 Ac 0.500 0.500 0.000
2 Ac 0.000 0.000 0.000
3 Ac 0.710 0.210 0.738
4 Ac 0.472 0.290 0.262
5 Ac 0.210 0.028 0.738
6 Ac 0.028 0.528 0.738
7 Ac 0.790 0.972 0.262
8 Ac 0.290 0.790 0.262
9 Ac 0.972 0.472 0.262
10 Ac 0.528 0.710 0.738
11 Ir 0.357 0.857 0.000
12 Ir 0.643 0.143 0.000
13 Ir 0.143 0.357 0.000
14 Ir 0.857 0.643 0.000
15 Pb 0.750 0.750 0.500
16 Pb 0.250 0.250 0.500



No. 4
This record from Alexandria via LeMat-Bulk describes an optimized crystal structure of Ac6Ir3Pb. The functional is GGA-PBE.

Output
Its crystal system is monoclinic.

abc: 4.432 12.619 13.008
angles: 107.32 90.00 90.00
Sites, in units of the cell vectors:
1 Ir 0.750 0.677 0.493
2 Ir 0.250 0.323 0.507
3 Ir 0.250 0.544 0.162
4 Ir 0.250 0.843 0.917
5 Ir 0.750 0.157 0.083
6 Ir 0.750 0.456 0.838
7 Ac 0.250 0.609 0.947
8 Ac 0.750 0.792 0.763
9 Ac 0.250 0.079 0.917
10 Ac 0.750 0.921 0.083
11 Ac 0.250 0.296 0.742
12 Ac 0.750 0.391 0.053
13 Ac 0.250 0.208 0.237
14 Ac 0.750 0.704 0.258
15 Ac 0.750 0.148 0.470
16 Ac 0.250 0.524 0.388
17 Ac 0.750 0.476 0.612
18 Ac 0.250 0.852 0.530
19 Pb 0.250 0.948 0.305
20 Pb 0.750 0.052 0.695



No. 5
This record from Alexandria via LeMat-Bulk describes an optimized crystal structure of Ac12IrPb6. The functional is GGA-PBE.

Output
Its crystal system is trigonal.

abc: 9.469 9.469 9.469
angles: 99.10 99.10 99.10
Sites, in units of the cell vectors:
1 Pb 0.122 0.652 0.313
2 Pb 0.687 0.878 0.348
3 Pb 0.652 0.313 0.122
4 Pb 0.878 0.348 0.687
5 Pb 0.313 0.122 0.652
6 Pb 0.348 0.687 0.878
7 Ac 0.560 0.193 0.426
8 Ac 0.574 0.440 0.807
9 Ac 0.440 0.807 0.574
10 Ac 0.685 0.945 0.002
11 Ac 0.055 0.998 0.315
12 Ac 0.193 0.426 0.560
13 Ac 0.807 0.574 0.440
14 Ac 0.426 0.560 0.193
15 Ac 0.998 0.315 0.055
16 Ac 0.945 0.002 0.685
17 Ac 0.315 0.055 0.998
18 Ac 0.002 0.685 0.945
19 Ir 0.000 0.000 0.000



No. 6
This record from Alexandria via LeMat-Bulk describes an optimized crystal structure of Ac5IrPb4. The functional is GGA-PBE.

Output
Its crystal system is tetragonal.

abc: 6.689 8.210 8.210
angles: 80.45 65.96 65.96
Sites, in units of the cell vectors:
1 Ir 0.001 0.000 0.000
2 Ac 0.258 0.846 0.641
3 Ac 0.104 0.641 0.154
4 Ac 0.744 0.154 0.359
5 Ac 0.899 0.359 0.846
6 Ac 0.501 0.000 0.000
7 Pb 0.428 0.399 0.748
8 Pb 0.176 0.252 0.399
9 Pb 0.826 0.748 0.601
10 Pb 0.575 0.601 0.252



No. 7
This record from Alexandria via LeMat-Bulk describes an optimized crystal structure of Ac8Ir3Pb2. The functional is GGA-PBE.

Output
Its crystal system is orthorhombic.

abc: 5.360 10.705 9.776
angles: 123.15 90.00 90.00
Sites, in units of the cell vectors:
1 Ac 0.000 0.609 0.219
2 Ac 0.000 0.109 0.218
3 Ac 0.000 0.891 0.782
4 Ac 0.500 0.650 0.781
5 Ac 0.500 0.869 0.219
6 Ac 0.000 0.391 0.781
7 Ac 0.500 0.350 0.219
8 Ac 0.500 0.131 0.781
9 Ir 0.000 0.741 0.000
10 Ir 0.000 0.259 0.000
11 Ir 0.500 0.000 0.000
12 Pb 0.500 0.256 0.513
13 Pb 0.500 0.744 0.487



No. 8
This record from Alexandria via LeMat-Bulk describes an optimized crystal structure of Ac7IrPb4. The functional is GGA-PBE.

Output
Its crystal system is monoclinic.

abc: 5.575 9.977 9.829
angles: 73.58 73.52 73.78
Sites, in units of the cell vectors:
1 Pb 0.445 0.772 0.338
2 Pb 0.555 0.228 0.662
3 Pb 0.736 0.705 0.823
4 Pb 0.264 0.295 0.177
5 Ac 0.500 0.000 0.000
6 Ac 0.628 0.419 0.324
7 Ac 0.118 0.687 0.077
8 Ac 0.162 0.007 0.670
9 Ac 0.882 0.313 0.923
10 Ac 0.838 0.993 0.330
11 Ac 0.372 0.581 0.676
12 Ir 0.000 0.000 0.000



In the order shown, the computed formation enthalpy at 0 K values come out to -0.366, -0.349, -0.573, -0.599, -0.343, -0.420, -0.403, -0.422 eV per atom.
In the order shown, the computed DOS at the Fermi energy values come out to 9.294, 15.811, 14.490, 13.384, 22.787, 8.540, 11.332, 6.438 states/eV per cell.
In the order shown, the computed energy values come out to -5.49, -5.47, -5.82, -6.09, -4.57, -4.84, -5.55, -4.79 eV/atom.